VASP calculation (PBE+U) on Ac2CrCuO6 after structural relaxation.

Computed properties:
- VASP energy: -72.8 eV per cell
- V: 125 Å³ per cell

Cell lengths 5.6074, 5.6074, 3.9763 Å; angles 90.00, 90.00, 90.00 degrees
With the nearest neighbours (Å) after each atom.
Space group P4/mmm (No. 123)
Inequivalent atoms, fractional coordinates:
Ac  0.0000  0.5000  0.0000  12 O 2.80-2.81
Cr  0.0000  0.0000  0.5000  6 O 1.99
Cu  0.5000  0.5000  0.5000  6 O 1.98-1.99
O  0.0000  0.0000  0.0000  2 Cr 1.99
O  0.2509  0.2509  0.5000  1 Cu 1.98, 1 Cr 1.99
O  0.5000  0.5000  0.0000  2 Cu 1.99